(1)
First-principles (PBE) data for TaTi3Fe after structural relaxation, as listed in Alexandria via LeMat-Bulk.

energy above the lowest structure with this stoichiometry: 0 kJ/mol of formula units
ΔH_f (0 K): -109 meV per atom
total magnetic moment: 0.00 μB/cell

Cell: 3.010 6.777 8.014 Å, 102.34 100.78 89.98°
Sites, in units of the cell vectors:
Ti: 0.412 0.397 0.083
Ti: 0.418 0.828 0.092
Ti: 0.228 0.732 0.714
Ti: 0.602 0.493 0.462
Ti: 0.617 0.939 0.488
Ti: 0.214 0.285 0.687
Fe: 0.014 0.668 0.286
Fe: 0.816 0.556 0.890
Ta: 0.014 0.160 0.286
Ta: 0.816 0.065 0.890

(2)
First-principles (PBE) data for Ta3TiFe8 after structural relaxation, as listed in Alexandria via LeMat-Bulk.

ΔH_f (0 K): -227 meV per atom
total magnetic moment: 11.03 μB/cell

Cell: 4.806 4.806 8.312 Å, 73.20 73.20 60.00°
Each line ends with the local moment (μB).
Sites, in units of the cell vectors:
Fe: 0.938 0.438 0.687  1.63
Fe: 0.938 0.437 0.188  1.62
Fe: 0.438 0.938 0.687  1.63
Fe: 0.437 0.938 0.188  1.62
Fe: 0.437 0.437 0.188  1.62
Fe: 0.688 0.688 0.937  1.64
Fe: 0.188 0.188 0.437  1.64
Fe: 0.938 0.938 0.687  1.63
Ta: 0.375 0.375 0.874  -0.31
Ta: 0.999 0.999 0.004  -0.34
Ta: 0.501 0.501 0.497  -0.36
Ti: 0.875 0.875 0.376  -0.51